Entry from Alexandria via LeMat-Bulk: a relaxed TaCoCuIr crystal (GGA-PBE).

Results
energy of formation: -1.03 eV/f.u.
mass density: 14.8 g/cm3
SG: No. 216
spin magnetization: 0.0 μB per formula unit

Cell lengths 4.282, 4.282, 4.282 Å; angles 60.00, 60.00, 60.00 degrees
Atoms (fractional coordinates):
Ta 0.000 0.000 0.000
Co 0.750 0.750 0.750
Cu 0.500 0.500 0.500
Ir 0.250 0.250 0.250

Entry from Alexandria via LeMat-Bulk: a relaxed ErScPdPb crystal (GGA-PBE).

Results
energy of formation: -2.34 eV/f.u.
mass density: 9.6 g/cm3
SG: No. 216
spin magnetization: 0.0 μB per formula unit

Cell lengths 5.047, 5.047, 5.047 Å; angles 60.00, 60.00, 60.00 degrees
Atoms (fractional coordinates):
Er 0.000 0.000 0.000
Sc 0.500 0.500 0.500
Pd 0.250 0.250 0.250
Pb 0.750 0.750 0.750

Entry from Alexandria via LeMat-Bulk: a relaxed NpSi2Pd2 crystal (GGA-PBE).

Results
mass density: 9.6 g/cm3
SG: No. 11
spin magnetization: 3.9 μB per formula unit
energy relative to the lowest polymorph listed for this composition: 55.3 meV/atom
energy relative to the elements, uncorrected: -535 meV per atom

Cell lengths 4.187, 4.188, 9.969 Å; angles 90.00, 90.04, 90.00 degrees
Atoms (fractional coordinates):
Np 0.250 0.250 0.246
Np 0.750 0.750 0.754
Si 0.248 0.750 0.000
Si 0.250 0.250 0.636
Si 0.750 0.750 0.364
Si 0.752 0.250 0.000
Pd 0.250 0.750 0.500
Pd 0.252 0.250 0.877
Pd 0.748 0.750 0.123
Pd 0.750 0.250 0.500

Entry from Alexandria via LeMat-Bulk: a relaxed Ti6Zn2Co crystal (GGA-PBE).

Results
energy of formation: 2.00 eV/f.u.
mass density: 5.0 g/cm3
SG: No. 71
spin magnetization: 0.0 μB per formula unit

Cell lengths 7.207, 7.207, 7.207 Å; angles 145.17, 131.07, 61.46 degrees
Atoms (fractional coordinates):
Ti 0.091 0.345 0.746
Ti 0.238 0.000 0.238
Ti 0.401 0.655 0.746
Ti 0.599 0.345 0.254
Ti 0.762 0.000 0.762
Ti 0.909 0.655 0.254
Zn 0.329 0.829 0.500
Zn 0.671 0.171 0.500
Co 0.000 0.500 0.500

> Number 3 is which compound?

NpSi2Pd2

> Which of these has the highest mass density?

TaCoCuIr